Entry 1:
! PBE Ir3RhC, relaxed; values from VASP
! **Energy of formation**: 3.313 eV per atom
! **ρ**: 11.09 g/cm3
! **Final energy**: -5.318 eV per atom
! **V**: 20.70 Å³ per atom
&SYSTEM
  ibrav = 0, nat = 5, ntyp = 3
/
ATOMIC_SPECIES
Ir 192.22 Ir.upf
Rh 102.91 Rh.upf
C 12.01 C.upf
CELL_PARAMETERS angstrom
4.695 0.000 0.000
0.000 4.695 0.000
0.000 0.000 4.695
ATOMIC_POSITIONS crystal
Ir 0.000 0.000 0.500
Ir 0.000 0.500 0.000
Ir 0.500 0.000 0.000
Rh 0.000 0.000 0.000
C 0.500 0.500 0.500



Entry 2:
! PBE ScIn5, relaxed; values from VASP
! **Energy of formation**: -0.124 eV per atom
! **ρ**: 6.98 g/cm3
! **Final energy**: -3.461 eV per atom
! **V**: 24.55 Å³ per atom
&SYSTEM
  ibrav = 0, nat = 6, ntyp = 2
/
ATOMIC_SPECIES
Sc 44.96 Sc.upf
In 114.82 In.upf
CELL_PARAMETERS angstrom
2.291 -6.990 0.000
2.291 6.990 0.000
0.000 0.000 4.601
ATOMIC_POSITIONS crystal
Sc 0.000 0.000 0.000
In 0.166 0.834 0.500
In 0.339 0.661 0.000
In 0.500 0.500 0.500
In 0.661 0.339 0.000
In 0.834 0.166 0.500



Entry 3:
! PBE Sc2AlCl, relaxed; values from VASP
! **ρ**: 3.10 g/cm3
! **Final energy**: -5.108 eV per atom
! **E_form (uncorrected)**: -2.18 eV/f.u.
! **V**: 20.39 Å³ per atom
&SYSTEM
  ibrav = 0, nat = 4, ntyp = 3
/
ATOMIC_SPECIES
Sc 44.96 Sc.upf
Al 26.98 Al.upf
Cl 35.45 Cl.upf
CELL_PARAMETERS angstrom
3.625 -3.649 0.000
3.625 3.649 0.000
-0.362 0.000 3.083
ATOMIC_POSITIONS crystal
Sc 0.000 0.500 0.000
Sc 0.500 0.000 0.000
Al 0.000 0.000 0.500
Cl 0.500 0.500 0.500



Entry 4:
! PBE CaPr6NdEr2, relaxed; values from VASP
! **Energy of formation**: 0.119 eV per atom
! **ρ**: 6.32 g/cm3
! **Final energy**: -4.338 eV per atom
! **V**: 35.84 Å³ per atom
&SYSTEM
  ibrav = 0, nat = 20, ntyp = 4
/
ATOMIC_SPECIES
Ca 40.08 Ca.upf
Pr 140.91 Pr.upf
Nd 144.24 Nd.upf
Er 167.26 Er.upf
CELL_PARAMETERS angstrom
4.706 -7.783 0.000
4.706 7.783 0.000
-1.164 0.000 9.786
ATOMIC_POSITIONS crystal
Ca 0.029 0.971 0.750
Ca 0.971 0.029 0.250
Pr 0.018 0.554 0.679
Pr 0.119 0.754 0.054
Pr 0.246 0.881 0.446
Pr 0.294 0.506 0.880
Pr 0.446 0.982 0.821
Pr 0.494 0.706 0.620
Pr 0.506 0.294 0.380
Pr 0.554 0.018 0.179
Pr 0.706 0.494 0.120
Pr 0.754 0.119 0.554
Pr 0.881 0.246 0.946
Pr 0.982 0.446 0.321
Nd 0.407 0.593 0.250
Nd 0.593 0.407 0.750
Er 0.197 0.301 0.546
Er 0.301 0.197 0.046
Er 0.699 0.803 0.954
Er 0.803 0.699 0.454



Entry 5:
! PBE Cs5TlO4, relaxed; values from VASP
! **ρ**: 5.17 g/cm3
! **Final energy**: -3.661 eV per atom
! **E_form (uncorrected)**: -10.14 eV/f.u.
! **V**: 29.95 Å³ per atom
&SYSTEM
  ibrav = 0, nat = 20, ntyp = 3
/
ATOMIC_SPECIES
Cs 132.91 Cs.upf
Tl 204.38 Tl.upf
O 16.00 O.upf
CELL_PARAMETERS angstrom
8.676 0.000 0.000
0.000 9.594 0.000
0.000 0.000 7.197
ATOMIC_POSITIONS crystal
Cs 0.008 0.056 0.241
Cs 0.008 0.444 0.241
Cs 0.250 0.750 0.358
Cs 0.492 0.056 0.241
Cs 0.492 0.444 0.241
Cs 0.508 0.556 0.759
Cs 0.508 0.944 0.759
Cs 0.750 0.250 0.642
Cs 0.992 0.556 0.759
Cs 0.992 0.944 0.759
Tl 0.250 0.250 0.700
Tl 0.750 0.750 0.300
O 0.028 0.250 0.860
O 0.250 0.047 0.536
O 0.250 0.453 0.536
O 0.472 0.250 0.860
O 0.528 0.750 0.140
O 0.750 0.547 0.464
O 0.750 0.953 0.464
O 0.972 0.750 0.140



Entry 6:
! PBE ThZnPt, relaxed; values from VASP
! **Energy of formation**: -0.626 eV per atom
! **ρ**: 13.01 g/cm3
! **Final energy**: -5.538 eV per atom
! **V**: 20.95 Å³ per atom
&SYSTEM
  ibrav = 0, nat = 3, ntyp = 3
/
ATOMIC_SPECIES
Th 232.04 Th.upf
Zn 65.41 Zn.upf
Pt 195.08 Pt.upf
CELL_PARAMETERS angstrom
-1.743 1.743 5.169
1.743 -1.743 5.169
1.743 1.743 -5.169
ATOMIC_POSITIONS crystal
Th 0.000 0.000 0.000
Zn 0.699 0.699 0.000
Pt 0.319 0.319 0.000



Entry 7:
! PBE Mg2CoRh9, relaxed; values from VASP
! **Energy of formation**: -0.122 eV per atom
! **ρ**: 10.01 g/cm3
! **Final energy**: -6.494 eV per atom
! **V**: 14.29 Å³ per atom
&SYSTEM
  ibrav = 0, nat = 12, ntyp = 3
/
ATOMIC_SPECIES
Mg 24.30 Mg.upf
Co 58.93 Co.upf
Rh 102.91 Rh.upf
CELL_PARAMETERS angstrom
3.836 0.000 0.000
0.000 3.836 0.000
0.000 0.000 11.648
ATOMIC_POSITIONS crystal
Mg 0.000 0.000 0.169
Mg 0.000 0.000 0.831
Co 0.000 0.000 0.500
Rh 0.000 0.500 0.000
Rh 0.000 0.500 0.342
Rh 0.000 0.500 0.658
Rh 0.500 0.000 0.000
Rh 0.500 0.000 0.342
Rh 0.500 0.000 0.658
Rh 0.500 0.500 0.171
Rh 0.500 0.500 0.500
Rh 0.500 0.500 0.829



Entry 8:
! PBE Pr7Sm2Sc, relaxed; values from VASP
! **Energy of formation**: 0.172 eV per atom
! **ρ**: 6.37 g/cm3
! **Final energy**: -4.750 eV per atom
! **V**: 34.71 Å³ per atom
&SYSTEM
  ibrav = 0, nat = 10, ntyp = 3
/
ATOMIC_SPECIES
Pr 140.91 Pr.upf
Sm 150.36 Sm.upf
Sc 44.96 Sc.upf
CELL_PARAMETERS angstrom
3.399 -14.656 0.000
3.399 14.656 0.000
0.000 0.000 3.484
ATOMIC_POSITIONS crystal
Pr 0.000 0.000 0.000
Pr 0.165 0.359 0.000
Pr 0.309 0.691 0.500
Pr 0.359 0.165 0.000
Pr 0.641 0.835 0.000
Pr 0.691 0.309 0.500
Pr 0.835 0.641 0.000
Sm 0.203 0.797 0.000
Sm 0.797 0.203 0.000
Sc 0.500 0.500 0.500